[1]
First-principles (PBE) data for NdSmNp2As4 after structural relaxation, as listed in the Alexandria database.

Results
Total energy in eV per atom: -7.82
Magnetization in μB per cell: 0.0

Geometry as extended XYZ:
```
8
Lattice="4.1510 0.0000 0.0000 0.0000 7.2296 0.1388 0.0000 -2.5153 6.7874" Properties=species:S:1:pos:R:3 pbc="T T T"
Np 2.0755 -1.2577 3.3937
Np 0.0000 2.3571 3.4631
As 2.0755 3.5499 5.1238
As 0.0000 -0.0902 5.0444
As 2.0755 1.1644 1.8024
As 0.0000 4.8044 1.8817
Nd 2.0755 3.6148 0.0694
Sm 0.0000 0.0000 0.0000
```

***

[2]
First-principles (PBE) data for MgCoNi2 after structural relaxation, as listed in the Alexandria database.

Results
Total energy in eV per atom: -5.04
Magnetization in μB per cell: 2.2

Geometry as extended XYZ:
```
4
Lattice="-0.9493 -3.1257 2.9325 1.7170 -2.0379 -3.4885 2.4078 0.2495 1.0421" Properties=species:S:1:pos:R:3 pbc="T T T"
Ni 0.3838 -2.5818 -0.2780
Ni 0.0000 0.0000 0.0000
Mg 2.0624 -0.8942 -1.2232
Co 0.7293 -1.4381 1.9873
```

***

[3]
First-principles (PBE) data for TbEr3Rh2 after structural relaxation, as listed in the Alexandria database.

Results
Total energy in eV per atom: -6.19
ΔE to the lowest computed polymorph in kJ/mol of atoms: 0.0
Magnetization in μB per cell: 0.0

Geometry as extended XYZ:
```
12
Lattice="4.6417 0.0000 0.0000 0.0000 7.1471 0.0000 0.0000 0.0000 8.6613" Properties=species:S:1:pos:R:3 pbc="T T T"
Er 0.0000 2.5672 2.8529
Er 0.0000 6.1408 5.8084
Er 0.0000 7.0576 0.7300
Er 2.3209 1.0091 7.2076
Er 2.3209 4.5827 1.4537
Er 0.0000 3.4840 7.9313
Rh 0.0000 1.8265 5.7247
Rh 0.0000 5.4000 2.9366
Rh 2.3209 1.7454 1.3676
Rh 2.3209 5.3189 7.2936
Tb 2.3209 3.6620 5.0645
Tb 2.3209 0.0885 3.5967
```

***

[4]
First-principles (PBE) data for Si2BC after structural relaxation, as listed in the Alexandria database.

Results
Total energy in eV per atom: -5.12
ΔE to the lowest computed polymorph in kJ/mol of atoms: 134.6
Magnetization in μB per cell: 0.0
Formation energy without anion corrections in eV/atom: 1.569

Geometry as extended XYZ:
```
4
Lattice="1.0613 0.9497 3.5339 1.8209 3.2882 0.6234 -1.7682 2.8412 1.8214" Properties=species:S:1:pos:R:3 pbc="T T T"
B 0.0000 0.0000 0.0000
Si 0.8355 5.3094 4.4840
Si 0.2785 1.7698 1.4947
C 0.5570 3.5396 2.9893
```

***

[5]
First-principles (PBE) data for PuICl after structural relaxation, as listed in the Alexandria database.

Results
Total energy in eV per atom: -7.16
ΔE to the lowest computed polymorph in kJ/mol of atoms: 15.6
Magnetization in μB per cell: 6.0
Formation energy without anion corrections in eV/atom: -1.255

Geometry as extended XYZ:
```
3
Lattice="-3.7195 3.4712 -1.2254 -3.9522 -1.3963 -3.1331 -4.8249 -0.5354 1.9544" Properties=species:S:1:pos:R:3 pbc="T T T"
I 0.0000 0.0000 0.0000
Pu -3.1242 0.3849 -0.6010
Cl -6.2483 0.7698 -1.2021
```

***

[6]
First-principles (PBE) data for In2Cu5Pd12 after structural relaxation, as listed in the Alexandria database.

Results
Total energy in eV per atom: -4.74
Magnetization in μB per cell: 0.0

Geometry as extended XYZ:
```
19
Lattice="7.7303 0.0000 0.0000 -3.8651 5.9122 1.3762 0.0000 -0.4286 6.4754" Properties=species:S:1:pos:R:3 pbc="T T T"
Cu 0.0000 -0.2143 3.2377
Cu 0.0000 4.0293 1.8394
Cu 3.8651 3.0735 4.1029
Cu 3.8651 1.4544 6.0121
Cu 0.0000 2.4101 3.7486
Pd 1.6849 4.4716 3.9435
Pd 3.8651 4.0077 6.5041
Pd 1.4043 2.5957 5.9548
Pd 5.5501 1.0120 3.9080
Pd -1.6849 4.4716 3.9435
Pd 2.4608 2.8880 1.8967
Pd 0.0000 1.4760 1.3474
Pd 0.0000 4.9554 6.1035
Pd 3.8651 0.5283 1.7481
Pd 2.1802 1.0120 3.9080
Pd -1.4043 2.5957 5.9548
Pd 5.2694 2.8880 1.8967
In 1.7889 0.0000 0.0000
In 5.9413 0.0000 0.0000
```